# NaMg2TlCl6 | Alexandria via LeMat-Bulk | PBE | relaxed
data_NaMg2TlCl6
_symmetry_space_group_name_H-M 'C 1 2/c 1'
_symmetry_Int_Tables_number 15
_symmetry_space_group_name_Hall '-C 2yc'
_cell_length_a 13.474
_cell_length_b 13.260
_cell_length_c 6.975
_cell_angle_alpha 90.00
_cell_angle_beta 98.86
_cell_angle_gamma 90.00
loop_
_atom_site_label
_atom_site_fract_x
_atom_site_fract_y
_atom_site_fract_z
_atom_site_occupancy
Na1 0.000 0.221 0.250 1
Mg1 0.197 0.085 0.783 1
Tl1 0.000 0.402 0.750 1
Cl1 0.114 0.217 0.609 1
Cl2 0.129 0.392 0.175 1
Cl3 0.148 0.067 0.101 1
# * spin magnetization: 0.00 μB/f.u.
# * electronic total energy: -3.4305 eV per atom